(1)
LaBe5Au7 PBE-GGA relaxed; energy of formation from the pure elements = -0.25 eV/atom
1.0
-2.5324 4.5030 4.4650
2.5324 -4.5030 4.4650
2.5324 4.5030 -4.4650
La Be Au
1 5 7
direct
0.0000 0.0000 0.0000 La
0.0267 0.0289 0.5163 Be
0.0267 0.5104 0.9979 Be
0.2424 0.7424 0.5000 Be
0.5126 0.0289 0.0021 Be
0.5126 0.5104 0.4837 Be
0.2435 0.5439 0.6996 Au
0.3250 0.9822 0.3428 Au
0.3326 0.3326 0.0000 Au
0.6394 0.9822 0.6572 Au
0.6556 0.6556 0.0000 Au
0.7813 0.2813 0.5000 Au
0.8443 0.5439 0.3004 Au



(2)
ZrSc PBE-GGA relaxed; energy of formation from the pure elements = 0.82 eV/atom
1.0
4.5648 0.0000 0.0000
-2.2824 3.9533 0.0000
0.0000 0.0000 5.9767
Zr Sc
2 2
direct
0.0000 0.0000 0.0000 Zr
0.0000 0.0000 0.5000 Zr
0.3333 0.6667 0.2500 Sc
0.6667 0.3333 0.7500 Sc



(3)
ZnCu2Tc PBE-GGA relaxed; energy of formation from the pure elements = 0.10 eV/atom
1.0
5.2719 0.0000 0.0000
0.0000 8.0011 0.0000
0.0000 0.0000 2.5058
Zn Cu Tc
2 4 2
direct
0.0000 0.0000 0.0000 Zn
0.5000 0.5000 0.0000 Zn
0.2500 0.2500 0.5000 Cu
0.2500 0.7500 0.5000 Cu
0.7500 0.2500 0.5000 Cu
0.7500 0.7500 0.5000 Cu
0.0000 0.5000 0.0000 Tc
0.5000 0.0000 0.0000 Tc



(4)
CrRe2Cl PBE-GGA relaxed; formation energy without anion corrections = 0.418 eV/atom; offset from the most stable computed form = 153 meV/atom
1.0
2.9567 0.0000 0.0000
0.0000 2.9567 0.0000
0.0000 0.0000 7.3517
Cr Re Cl
1 2 1
direct
0.0000 0.0000 0.0000 Cr
0.0000 0.0000 0.4551 Re
0.5000 0.5000 0.2495 Re
0.5000 0.5000 0.7547 Cl



(5)
Ce4AlTc PBE-GGA relaxed; energy of formation from the pure elements = -0.16 eV/atom; offset from the most stable computed form = 0 meV/atom
1.0
3.0158 -8.9617 0.0000
3.0158 8.9617 0.0000
0.0000 0.0000 4.8020
Ce Al Tc
8 2 2
direct
0.0193 0.4316 0.2500 Ce
0.1832 0.2714 0.2500 Ce
0.2714 0.1832 0.7500 Ce
0.4316 0.0193 0.7500 Ce
0.5684 0.9807 0.2500 Ce
0.7286 0.8168 0.2500 Ce
0.8168 0.7286 0.7500 Ce
0.9807 0.5684 0.7500 Ce
0.3751 0.6249 0.7500 Al
0.6249 0.3751 0.2500 Al
0.1250 0.8750 0.2500 Tc
0.8750 0.1250 0.7500 Tc



(6)
HoSc2Sn PBE-GGA relaxed; energy of formation from the pure elements = -0.46 eV/atom; offset from the most stable computed form = 0 meV/atom
1.0
4.3863 0.0000 0.0000
0.0000 4.4713 0.0000
-2.1867 0.0000 10.6083
Ho Sc Sn
2 4 2
direct
0.1890 0.2500 0.3798 Ho
0.8110 0.7500 0.6202 Ho
0.0551 0.7500 0.1108 Sc
0.4395 0.7500 0.8783 Sc
0.5605 0.2500 0.1217 Sc
0.9449 0.2500 0.8892 Sc
0.3403 0.2500 0.6787 Sn
0.6597 0.7500 0.3213 Sn